Arrangement w

The following is a DFT calculation (PBE) of a geometry-optimized CaSc2Au structure.

Values from the calculation:
V = 192.9 Å³ per cell
ρ = 5.63 g/cm³
crystal system = tetragonal

a = 4.3297 Å, b = 4.3297 Å, c = 10.2889 Å
α = 90.00°, β = 90.00°, γ = 90.00°
Space group I4/mmm (No. 139)
Symmetry-distinct sites (fractional):
Ca  0.0000  0.0000  0.0000 x2
Sc  0.0000  0.5000  0.2500 x4
Au  0.0000  0.0000  0.5000 x2


Arrangement x

The following is a DFT calculation (PBE) of a geometry-optimized CaSc2Au structure.

Values from the calculation:
V = 198.8 Å³ per cell
ρ = 5.46 g/cm³
crystal system = orthorhombic

a = 3.4804 Å, b = 5.2034 Å, c = 10.9764 Å
α = 90.00°, β = 90.00°, γ = 90.00°
Space group Immm (No. 71)
Symmetry-distinct sites (fractional):
Ca  0.0000  0.0000  0.0000 x2
Sc  0.0000  0.5000  0.2069 x4
Au  0.0000  0.0000  0.5000 x2


Tell me which of them is the most stable. Sure, it is arrangement x.


Arrangement w

The following is a DFT calculation (PBE) of a geometry-optimized TlCu2Ag structure.

Values from the calculation:
V = 270.5 Å³ per cell
ρ = 10.79 g/cm³
crystal system = cubic

a = 6.4670 Å, b = 6.4670 Å, c = 6.4670 Å
α = 90.00°, β = 90.00°, γ = 90.00°
Space group F-43m (No. 216)
Symmetry-distinct sites (fractional):
Tl  0.0000  0.0000  0.0000 x4
Cu  0.0000  0.0000  0.5000 x4
Cu  0.2500  0.2500  0.2500 x4
Ag  0.2500  0.2500  0.7500 x4


Arrangement x

The following is a DFT calculation (PBE) of a geometry-optimized TlCu2Ag structure.

Values from the calculation:
V = 68.4 Å³ per cell
ρ = 10.67 g/cm³
crystal system = monoclinic

a = 3.0013 Å, b = 4.3470 Å, c = 5.4319 Å
α = 90.00°, β = 105.15°, γ = 90.00°
Space group Pm (No. 6)
Symmetry-distinct sites (fractional):
Tl  0.0000  0.0000  0.0000 x1
Cu  0.2621  0.0000  0.5256 x1
Cu  0.3898  0.5000  0.7793 x1
Ag  0.6785  0.5000  0.3456 x1


Tell me which of them is the most stable. Sure, it is arrangement x.


Arrangement w

The following is a DFT calculation (PBE) of a geometry-optimized ZrIr2Ru structure.

Values from the calculation:
V = 126.8 Å³ per cell
ρ = 15.10 g/cm³
crystal system = tetragonal

a = 3.9872 Å, b = 3.9872 Å, c = 7.9763 Å
α = 90.00°, β = 90.00°, γ = 90.00°
Space group I-4m2 (No. 119)
Symmetry-distinct sites (fractional):
Zr  0.0000  0.0000  0.0000 x2
Ir  0.0000  0.0000  0.5000 x2
Ir  0.0000  0.5000  0.2500 x2
Ru  0.0000  0.5000  0.7500 x2


Arrangement x

The following is a DFT calculation (PBE) of a geometry-optimized ZrIr2Ru structure.

Values from the calculation:
V = 128.1 Å³ per cell
ρ = 14.96 g/cm³
crystal system = monoclinic

a = 9.2849 Å, b = 2.8619 Å, c = 4.8991 Å
α = 90.00°, β = 100.36°, γ = 90.00°
Space group Cm (No. 8)
Symmetry-distinct sites (fractional):
Zr  0.0000  0.0000  0.0000 x2
Ir  0.0011  0.5000  0.5081 x2
Ir  0.2537  0.5000  0.2587 x2
Ru  0.2430  0.0000  0.7102 x2


Tell me which of them is the most stable. Sure, it is arrangement w.